# 1
A relaxed CsTiS2 crystal, computed with GGA-PBE.

## Properties
formation energy without anion corrections	-1.256	eV per atom

Lattice parameters (Å, degrees): 7.1173 7.1173 7.1173 118.61 118.61 92.43
Sites, in units of the cell vectors:
Cs 0.0000 0.0000 0.0000
Cs 0.7500 0.2500 0.5000
Ti 0.2500 0.7500 0.5000
Ti 0.5000 0.5000 0.0000
S 0.2687 0.6250 0.1437
S 0.3750 0.5187 0.6437
S 0.4813 0.1250 0.8563
S 0.8750 0.7313 0.3563

***

# 2
A relaxed CsTiS2 crystal, computed with GGA-PBE.

## Properties
formation energy without anion corrections	-0.415	eV per atom

Lattice parameters (Å, degrees): 9.1267 9.1267 9.1267 30.83 30.83 30.83
Sites, in units of the cell vectors:
Cs 0.0000 0.0000 0.0000
Ti 0.5000 0.5000 0.5000
S 0.4158 0.4158 0.4158
S 0.5842 0.5842 0.5842

***

# 3
A relaxed Cs2Tm2TiS6 crystal, computed with GGA-PBE.

## Properties
formation energy without anion corrections	-1.684	eV per atom

Lattice parameters (Å, degrees): 6.6469 6.6469 8.5320 97.90 97.90 119.64
Sites, in units of the cell vectors:
Cs 0.1700 0.8300 0.0000
Cs 0.8300 0.1700 0.0000
Tm 0.3329 0.6671 0.5000
Tm 0.6671 0.3329 0.5000
Ti 0.0000 0.0000 0.5000
S 0.0617 0.3698 0.6732
S 0.2482 0.2482 0.3287
S 0.3698 0.0617 0.6732
S 0.6302 0.9383 0.3268
S 0.7518 0.7518 0.6713
S 0.9383 0.6302 0.3268

***

# 4
A relaxed Cs2UTiS5 crystal, computed with GGA-PBE.

## Properties
formation energy without anion corrections	-1.333	eV per atom

Lattice parameters (Å, degrees): 10.0839 10.0839 14.7531 90.00 90.00 156.14
Sites, in units of the cell vectors:
Cs 0.1236 0.8764 0.5000
Cs 0.1308 0.8692 0.1457
Cs 0.8692 0.1308 0.6457
Cs 0.8764 0.1236 0.0000
U 0.1979 0.8021 0.8435
U 0.8021 0.1979 0.3435
Ti 0.4332 0.5668 0.2536
Ti 0.5668 0.4332 0.7536
S 0.0550 0.9450 0.8304
S 0.3061 0.6939 0.4562
S 0.3175 0.6825 0.2190
S 0.3222 0.6778 0.8243
S 0.4874 0.5126 0.1260
S 0.5126 0.4874 0.6260
S 0.6778 0.3222 0.3243
S 0.6825 0.3175 0.7190
S 0.6939 0.3061 0.9562
S 0.9450 0.0550 0.3304

***

# 5
A relaxed Cs2UTiS6 crystal, computed with GGA-PBE.

## Properties
formation energy without anion corrections	-1.212	eV per atom

Lattice parameters (Å, degrees): 7.1429 7.1429 7.1429 60.00 60.00 60.00
Sites, in units of the cell vectors:
Cs 0.2500 0.2500 0.2500
Cs 0.7500 0.7500 0.7500
U 0.0000 0.0000 0.0000
Ti 0.5000 0.5000 0.5000
S 0.2551 0.2551 0.7449
S 0.2551 0.7449 0.2551
S 0.2551 0.7449 0.7449
S 0.7449 0.2551 0.2551
S 0.7449 0.2551 0.7449
S 0.7449 0.7449 0.2551

***

# 6
A relaxed CsUTiS6 crystal, computed with GGA-PBE.

## Properties
formation energy without anion corrections	-1.075	eV per atom

Lattice parameters (Å, degrees): 6.4639 6.4639 8.0179 90.00 90.00 120.00
Sites, in units of the cell vectors:
Cs 0.0000 0.0000 0.0000
U 0.6667 0.3333 0.5000
Ti 0.3333 0.6667 0.5000
S 0.0130 0.3926 0.6819
S 0.0130 0.6204 0.3181
S 0.3796 0.3926 0.3181
S 0.3796 0.9870 0.6819
S 0.6074 0.6204 0.6819
S 0.6074 0.9870 0.3181

***

# 7
A relaxed Cs3U3TiS8 crystal, computed with GGA-PBE.

## Properties
formation energy without anion corrections	-1.378	eV per atom

Lattice parameters (Å, degrees): 9.4446 9.4446 9.4446 49.31 49.31 49.31
Sites, in units of the cell vectors:
Cs 0.0000 0.5000 0.5000
Cs 0.5000 0.0000 0.5000
Cs 0.5000 0.5000 0.0000
U 0.0000 0.0000 0.5000
U 0.0000 0.5000 0.0000
U 0.5000 0.0000 0.0000
Ti 0.5000 0.5000 0.5000
S 0.2285 0.2285 0.2285
S 0.2405 0.7163 0.7163
S 0.2837 0.2837 0.7595
S 0.2837 0.7595 0.2837
S 0.7163 0.2405 0.7163
S 0.7163 0.7163 0.2405
S 0.7595 0.2837 0.2837
S 0.7715 0.7715 0.7715

***

# 8
A relaxed CsYTiS4 crystal, computed with GGA-PBE.

## Properties
formation energy without anion corrections	-1.616	eV per atom

Lattice parameters (Å, degrees): 6.6415 6.8837 9.5643 90.00 108.71 90.00
Sites, in units of the cell vectors:
Cs 0.2327 0.2500 0.4405
Cs 0.7673 0.7500 0.5595
Y 0.2902 0.2500 0.9564
Y 0.7098 0.7500 0.0436
Ti 0.2625 0.7500 0.1568
Ti 0.7375 0.2500 0.8432
S 0.0440 0.7500 0.9271
S 0.0577 0.7500 0.3039
S 0.4993 0.5006 0.8120
S 0.4993 0.9994 0.8120
S 0.5007 0.0006 0.1880
S 0.5007 0.4994 0.1880
S 0.9423 0.2500 0.6961
S 0.9560 0.2500 0.0729

***

# 9
A relaxed Cs2YTiS4 crystal, computed with GGA-PBE.

## Properties
formation energy without anion corrections	-1.411	eV per atom

Lattice parameters (Å, degrees): 14.9014 13.3469 8.0128 84.56 63.08 32.36
Sites, in units of the cell vectors:
Cs 0.0532 0.0532 0.6968
Cs 0.3032 0.3032 0.9468
Cs 0.6968 0.6968 0.0532
Cs 0.9468 0.9468 0.3032
Y 0.1250 0.1250 0.1250
Y 0.8750 0.8750 0.8750
Ti 0.3750 0.3750 0.3750
Ti 0.6250 0.6250 0.6250
S 0.0121 0.6389 0.5490
S 0.2999 0.5490 0.6389
S 0.3611 0.9879 0.7001
S 0.4510 0.7001 0.9879
S 0.5490 0.2999 0.0121
S 0.6389 0.0121 0.2999
S 0.7001 0.4510 0.3611
S 0.9879 0.3611 0.4510

***

# 10
A relaxed Cs3Zr3TiS8 crystal, computed with GGA-PBE.

## Properties
formation energy without anion corrections	-1.465	eV per atom

Lattice parameters (Å, degrees): 9.3112 9.3112 9.3112 47.14 47.14 47.14
Sites, in units of the cell vectors:
Cs 0.0000 0.5000 0.5000
Cs 0.5000 0.0000 0.5000
Cs 0.5000 0.5000 0.0000
Zr 0.0000 0.0000 0.5000
Zr 0.0000 0.5000 0.0000
Zr 0.5000 0.0000 0.0000
Ti 0.5000 0.5000 0.5000
S 0.2274 0.2274 0.2274
S 0.2319 0.7218 0.7218
S 0.2782 0.2782 0.7681
S 0.2782 0.7681 0.2782
S 0.7218 0.2319 0.7218
S 0.7218 0.7218 0.2319
S 0.7681 0.2782 0.2782
S 0.7726 0.7726 0.7726

***

# 11
A relaxed CsTlS5 crystal, computed with GGA-PBE.

## Properties
formation energy without anion corrections	-0.236	eV per atom

Lattice parameters (Å, degrees): 8.5438 8.5438 7.4785 107.42 107.42 81.93
Sites, in units of the cell vectors:
Cs 0.2253 0.7747 0.7500
Cs 0.7747 0.2253 0.2500
Tl 0.0000 0.5000 0.0000
Tl 0.5000 0.0000 0.5000
S 0.0629 0.1713 0.6977
S 0.1524 0.8476 0.2500
S 0.1713 0.0629 0.1977
S 0.4093 0.4949 0.3267
S 0.4949 0.4093 0.8267
S 0.5051 0.5907 0.1733
S 0.5907 0.5051 0.6733
S 0.8287 0.9371 0.8023
S 0.8476 0.1524 0.7500
S 0.9371 0.8287 0.3023

***

# 12
A relaxed CsTl3S crystal, computed with GGA-PBE.

## Properties
formation energy without anion corrections	0.938	eV per atom
offset from the most stable computed form	986	meV per atom

Lattice parameters (Å, degrees): 6.5742 6.5742 6.5742 90.00 90.00 90.00
Sites, in units of the cell vectors:
Cs 0.0000 0.0000 0.0000
Tl 0.0000 0.0000 0.5000
Tl 0.0000 0.5000 0.0000
Tl 0.5000 0.0000 0.0000
S 0.5000 0.5000 0.5000

***

| no. | VASP energy (eV/cell) |
| --- | --- |
| 1 | -44.06 |
| 2 | -18.66 |
| 3 | -61.84 |
| 4 | -107.05 |
| 5 | -57.78 |
| 6 | -54.48 |
| 7 | -98.00 |
| 8 | -86.07 |
| 9 | -87.73 |
| 10 | -91.10 |
| 11 | -51.02 |
| 12 | -7.39 |